# Y2ScAg, optimized geometry, DFT GGA-PBE
data_Y2ScAg
_symmetry_space_group_name_H-M 'I -4 m 2'
_symmetry_Int_Tables_number 119
_symmetry_space_group_name_Hall 'I -4 -2'
_cell_length_a 4.448
_cell_length_b 4.448
_cell_length_c 10.580
_cell_angle_alpha 90.00
_cell_angle_beta 90.00
_cell_angle_gamma 90.00
loop_
_atom_site_label
_atom_site_fract_x
_atom_site_fract_y
_atom_site_fract_z
_atom_site_occupancy
Y1 0.000 0.000 0.000 1
Y2 0.000 0.500 0.250 1
Sc1 0.000 0.000 0.500 1
Ag1 0.000 0.500 0.750 1
# Calculated total energy in eV per cell: -43.95
# Mass density in kg/m3: 5246
# Volume in Å³/cell: 209
# Total magnetic moment in μB per formula unit: 0.31
# Formation energy from the elements in kJ/mol of formula units: 13
# Energy above the most stable polymorph in this dataset in meV/atom: 153

# Tm8Ga3AgTe4, optimized geometry, DFT GGA-PBE
data_Tm8Ga3AgTe4
_symmetry_space_group_name_H-M 'R -3 m'
_symmetry_Int_Tables_number 166
_symmetry_space_group_name_Hall '-R 3 2"'
_cell_length_a 8.1740
_cell_length_b 8.1740
_cell_length_c 22.1773
_cell_angle_alpha 90.00
_cell_angle_beta 90.00
_cell_angle_gamma 120.00
loop_
_atom_site_label
_atom_site_fract_x
_atom_site_fract_y
_atom_site_fract_z
_atom_site_occupancy
Tm1 0.0000 0.0000 0.2436 1
Tm2 0.0056 0.5028 0.7557 1
Ga1 0.0000 0.5000 0.5000 1
Ag1 0.0000 0.0000 0.5000 1
Te1 0.0000 0.0000 0.0000 1
Te2 0.0000 0.5000 0.0000 1
# Calculated total energy in eV per cell: -220.60
# Mass density in kg/m3: 8459
# Volume in Å³/cell: 1283
# Total magnetic moment in μB per formula unit: 0.00
# Formation energy from raw total energies in eV/f.u.: -13.26

# Ga2RhAu, optimized geometry, DFT GGA-PBE
data_Ga2RhAu
_symmetry_space_group_name_H-M 'R -3 m'
_symmetry_Int_Tables_number 166
_symmetry_space_group_name_Hall '-R 3 2"'
_cell_length_a 2.8870
_cell_length_b 2.8870
_cell_length_c 28.5409
_cell_angle_alpha 90.00
_cell_angle_beta 90.00
_cell_angle_gamma 120.00
loop_
_atom_site_label
_atom_site_fract_x
_atom_site_fract_y
_atom_site_fract_z
_atom_site_occupancy
Ga1 0.0000 0.0000 0.0847 1
Rh1 0.0000 0.0000 0.0000 1
Au1 0.0000 0.0000 0.5000 1
# Calculated total energy in eV per cell: -49.47
# Mass density in kg/m3: 10623
# Volume in Å³/cell: 206
# Total magnetic moment in μB per formula unit: 0.00
# Formation energy from the elements in kJ/mol of formula units: 19
# Energy above the most stable polymorph in this dataset in meV/atom: 388

# UTeH2, optimized geometry, DFT GGA-PBE
data_UTeH2
_symmetry_space_group_name_H-M 'R -3 m'
_symmetry_Int_Tables_number 166
_symmetry_space_group_name_Hall '-R 3 2"'
_cell_length_a 3.7847
_cell_length_b 3.7847
_cell_length_c 14.1256
_cell_angle_alpha 90.00
_cell_angle_beta 90.00
_cell_angle_gamma 120.00
loop_
_atom_site_label
_atom_site_fract_x
_atom_site_fract_y
_atom_site_fract_z
_atom_site_occupancy
U1 0.0000 0.0000 0.0000 1
Te1 0.0000 0.0000 0.5000 1
H1 0.0000 0.0000 0.3031 1
# Calculated total energy in eV per cell: -68.93
# Mass density in kg/m3: 10452
# Volume in Å³/cell: 175
# Total magnetic moment in μB per formula unit: 2.00
# Energy above the most stable polymorph in this dataset in meV/atom: 0

# CrRu2Pb, optimized geometry, DFT GGA-PBE
data_CrRu2Pb
_symmetry_space_group_name_H-M 'P 4/m m m'
_symmetry_Int_Tables_number 123
_symmetry_space_group_name_Hall '-P 4 2'
_cell_length_a 3.078
_cell_length_b 3.078
_cell_length_c 6.804
_cell_angle_alpha 90.00
_cell_angle_beta 90.00
_cell_angle_gamma 90.00
loop_
_atom_site_label
_atom_site_fract_x
_atom_site_fract_y
_atom_site_fract_z
_atom_site_occupancy
Cr1 0.000 0.000 0.000 1
Ru1 0.500 0.500 0.208 1
Pb1 0.000 0.000 0.500 1
# Calculated total energy in eV per cell: -30.37
# Mass density in kg/m3: 11887
# Volume in Å³/cell: 64
# Total magnetic moment in μB per formula unit: 1.66
# Formation energy from the elements in kJ/mol of formula units: 146

# NdTmCo, optimized geometry, DFT GGA-PBE
data_NdTmCo
_symmetry_space_group_name_H-M 'F -4 3 m'
_symmetry_Int_Tables_number 216
_symmetry_space_group_name_Hall 'F -4 2 3'
_cell_length_a 6.694
_cell_length_b 6.694
_cell_length_c 6.694
_cell_angle_alpha 90.00
_cell_angle_beta 90.00
_cell_angle_gamma 90.00
loop_
_atom_site_label
_atom_site_fract_x
_atom_site_fract_y
_atom_site_fract_z
_atom_site_occupancy
Nd1 0.000 0.000 0.000 1
Tm1 0.000 0.000 0.500 1
Co1 0.250 0.250 0.250 1
# Calculated total energy in eV per cell: -65.48
# Mass density in kg/m3: 8238
# Volume in Å³/cell: 300
# Total magnetic moment in μB per formula unit: 0.00
# Formation energy from the elements in kJ/mol of formula units: -2
# Energy above the most stable polymorph in this dataset in meV/atom: 109

# K2GeBiO4, optimized geometry, DFT GGA-PBE
data_K2GeBiO4
_symmetry_space_group_name_H-M 'I -4'
_symmetry_Int_Tables_number 82
_cell_length_a 6.481
_cell_length_b 6.481
_cell_length_c 7.113
_cell_angle_alpha 90.00
_cell_angle_beta 90.00
_cell_angle_gamma 90.00
loop_
_symmetry_equiv_pos_as_xyz
'x,y,z'
'y,-x,-z'
'-x,-y,z'
'-y,x,-z'
'x+1/2,y+1/2,z+1/2'
'y+1/2,-x+1/2,-z+1/2'
'-x+1/2,-y+1/2,z+1/2'
'-y+1/2,x+1/2,-z+1/2'
loop_
_atom_site_label
_atom_site_fract_x
_atom_site_fract_y
_atom_site_fract_z
_atom_site_occupancy
K1 0.000 0.000 0.000 1
K2 0.000 0.500 0.250 1
Ge1 0.000 0.500 0.750 1
Bi1 0.000 0.000 0.500 1
O1 0.136 0.675 0.598 1
# Calculated total energy in eV per cell: -84.13
# Mass density in kg/m3: 4711
# Volume in Å³/cell: 299
# Total magnetic moment in μB per formula unit: 1.00
# Formation energy from raw total energies in eV/f.u.: -11.54

# VSe2BrN, optimized geometry, DFT GGA-PBE
data_VSe2BrN
_symmetry_space_group_name_H-M 'P 4/m m m'
_symmetry_Int_Tables_number 123
_symmetry_space_group_name_Hall '-P 4 2'
_cell_length_a 4.742
_cell_length_b 4.742
_cell_length_c 5.285
_cell_angle_alpha 90.00
_cell_angle_beta 90.00
_cell_angle_gamma 90.00
loop_
_atom_site_label
_atom_site_fract_x
_atom_site_fract_y
_atom_site_fract_z
_atom_site_occupancy
V1 0.000 0.000 0.000 1
Se1 0.000 0.500 0.000 1
Br1 0.000 0.000 0.500 1
N1 0.500 0.500 0.500 1
# Calculated total energy in eV per cell: -21.89
# Mass density in kg/m3: 4230
# Volume in Å³/cell: 119
# Total magnetic moment in μB per formula unit: 2.68
# Formation energy from raw total energies in eV/f.u.: 4.20
# Energy above the most stable polymorph in this dataset in meV/atom: 620

# Dy4B3PdPt12, optimized geometry, DFT GGA-PBE
data_Dy4B3PdPt12
_symmetry_space_group_name_H-M 'I m -3 m'
_symmetry_Int_Tables_number 229
_symmetry_space_group_name_Hall '-I 4 2 3'
_cell_length_a 8.918
_cell_length_b 8.918
_cell_length_c 8.918
_cell_angle_alpha 90.00
_cell_angle_beta 90.00
_cell_angle_gamma 90.00
loop_
_atom_site_label
_atom_site_fract_x
_atom_site_fract_y
_atom_site_fract_z
_atom_site_occupancy
Dy1 0.250 0.250 0.250 1
B1 0.000 0.000 0.500 1
Pd1 0.000 0.000 0.000 1
Pt1 0.000 0.000 0.281 1
Pt2 0.000 0.250 0.500 1
# Calculated total energy in eV per cell: -256.93
# Mass density in kg/m3: 14656
# Volume in Å³/cell: 709
# Total magnetic moment in μB per formula unit: 0.00
# Formation energy from the elements in kJ/mol of formula units: -1191

# Pm2Pr8Cd, optimized geometry, DFT GGA-PBE
data_Pm2Pr8Cd
_symmetry_space_group_name_H-M 'C 1 2/m 1'
_symmetry_Int_Tables_number 12
_cell_length_a 11.610
_cell_length_b 5.196
_cell_length_c 12.923
_cell_angle_alpha 90.00
_cell_angle_beta 104.12
_cell_angle_gamma 90.00
loop_
_symmetry_equiv_pos_as_xyz
'x,y,z'
'-x,-y,-z'
'-x,y,-z'
'x,-y,z'
'x+1/2,y+1/2,z'
'-x+1/2,-y+1/2,-z'
'-x+1/2,y+1/2,-z'
'x+1/2,-y+1/2,z'
loop_
_atom_site_label
_atom_site_fract_x
_atom_site_fract_y
_atom_site_fract_z
_atom_site_occupancy
Pm1 0.185 0.000 0.261 1
Pr1 0.036 0.500 0.824 1
Pr2 0.089 0.000 0.640 1
Pr3 0.140 0.500 0.452 1
Pr4 0.247 0.500 0.087 1
Cd1 0.000 0.000 0.000 1
# Calculated total energy in eV per cell: -97.79
# Mass density in kg/m3: 6720
# Volume in Å³/cell: 756
# Total magnetic moment in μB per formula unit: 0.00
# Formation energy from the elements in kJ/mol of formula units: -24
# Energy above the most stable polymorph in this dataset in meV/atom: 0

# K4ScRu, optimized geometry, DFT GGA-PBE
data_K4ScRu
_symmetry_space_group_name_H-M 'F -4 3 m'
_symmetry_Int_Tables_number 216
_symmetry_space_group_name_Hall 'F -4 2 3'
_cell_length_a 9.674
_cell_length_b 9.674
_cell_length_c 9.674
_cell_angle_alpha 90.00
_cell_angle_beta 90.00
_cell_angle_gamma 90.00
loop_
_atom_site_label
_atom_site_fract_x
_atom_site_fract_y
_atom_site_fract_z
_atom_site_occupancy
K1 0.123 0.123 0.123 1
Sc1 0.000 0.000 0.500 1
Ru1 0.250 0.250 0.750 1
# Calculated total energy in eV per cell: -50.21
# Mass density in kg/m3: 2219
# Volume in Å³/cell: 905
# Total magnetic moment in μB per formula unit: 0.31
# Formation energy from the elements in kJ/mol of formula units: 718

# NaLa2GaRu, optimized geometry, DFT GGA-PBE
data_NaLa2GaRu
_symmetry_space_group_name_H-M 'P 4/m m m'
_symmetry_Int_Tables_number 123
_symmetry_space_group_name_Hall '-P 4 2'
_cell_length_a 5.497
_cell_length_b 5.497
_cell_length_c 5.016
_cell_angle_alpha 90.00
_cell_angle_beta 90.00
_cell_angle_gamma 90.00
loop_
_atom_site_label
_atom_site_fract_x
_atom_site_fract_y
_atom_site_fract_z
_atom_site_occupancy
Na1 0.000 0.000 0.000 1
La1 0.000 0.500 0.500 1
Ga1 0.500 0.500 0.000 1
Ru1 0.500 0.500 0.500 1
# Calculated total energy in eV per cell: -24.60
# Mass density in kg/m3: 5166
# Volume in Å³/cell: 152
# Total magnetic moment in μB per formula unit: 0.00
# Formation energy from the elements in kJ/mol of formula units: -108

The highest calculated total energy belongs to which entry? VSe2BrN